[1]
Computed, not measured: an optimized crystal structure of HfAgGe at the PBE level of DFT.

a b c (Å): 5.4927 5.4806 8.2287
angles (deg): 90.00 109.47 90.00
Space group C2/m (No. 12)
Unique sites:
1 Hf 0.1721 0.0000 0.3437 (multiplicity 4)
2 Ag 0.2482 0.0000 0.9994 (multiplicity 4)
3 Ge 0.1534 0.5000 0.3069 (multiplicity 4)

* energy of formation from the pure elements: -0.258 eV per atom
* crystal system: monoclinic
* D(E_F): 1.76 states/eV/cell
* M_tot: 0.0 μB/cell
* E: -6.07 eV per atom

[2]
Computed, not measured: an optimized crystal structure of BaSnP2O8 at the PBE level of DFT.

a b c (Å): 4.9875 4.9875 7.9820
angles (deg): 90.00 90.00 120.00
Space group P-3 (No. 147)
Unique sites:
1 Ba 0.0000 0.0000 0.0000 (multiplicity 1)
2 Sn 0.0000 0.0000 0.5000 (multiplicity 1)
3 P 0.3333 0.6667 0.7244 (multiplicity 2)
4 O 0.0643 0.3495 0.6617 (multiplicity 6)
5 O 0.3333 0.6667 0.9157 (multiplicity 2)

* formation energy without anion corrections: -2356 meV/atom
* crystal system: trigonal
* D(E_F): 0.00 states/eV/cell
* M_tot: 0.0 μB/cell
* E: -7.06 eV per atom

[3]
Computed, not measured: an optimized crystal structure of SrLi5Zn2 at the PBE level of DFT.

a b c (Å): 4.2677 8.2074 10.3535
angles (deg): 90.00 90.00 90.00
Space group Immm (No. 71)
Unique sites:
1 Sr 0.0000 0.0000 0.0000 (multiplicity 2)
2 Li 0.0000 0.1834 0.3411 (multiplicity 8)
3 Li 0.0000 0.5000 0.0000 (multiplicity 2)
4 Zn 0.0000 0.5000 0.2565 (multiplicity 4)

* energy of formation from the pure elements: -0.068 eV per atom
* crystal system: orthorhombic
* D(E_F): 10.17 states/eV/cell
* M_tot: 0.0 μB/cell
* E: -1.79 eV per atom

[4]
Computed, not measured: an optimized crystal structure of SnHgSbTe3 at the PBE level of DFT.

a b c (Å): 9.5223 4.2555 10.5422
angles (deg): 90.00 95.88 90.00
Space group P2_1/m (No. 11)
Unique sites:
1 Sn 0.0115 0.2500 0.3217 (multiplicity 2)
2 Hg 0.2337 0.7500 0.2648 (multiplicity 2)
3 Sb 0.3329 0.2500 0.8960 (multiplicity 2)
4 Te 0.1251 0.7500 0.9541 (multiplicity 2)
5 Te 0.1866 0.2500 0.6086 (multiplicity 2)
6 Te 0.4448 0.2500 0.1764 (multiplicity 2)

* formation energy without anion corrections: -115 meV/atom
* crystal system: monoclinic
* D(E_F): 3.48 states/eV/cell
* M_tot: 0.0 μB/cell
* E: -3.09 eV per atom

[5]
Computed, not measured: an optimized crystal structure of NdYHo4 at the PBE level of DFT.

a b c (Å): 10.7266 6.1954 12.0599
angles (deg): 90.00 107.20 90.00
Space group C2/c (No. 15)
Unique sites:
1 Nd 0.0000 0.0808 0.2500 (multiplicity 4)
2 Y 0.2500 0.2500 0.5000 (multiplicity 4)
3 Ho 0.0838 0.2516 0.0003 (multiplicity 8)
4 Ho 0.1663 0.4169 0.7499 (multiplicity 8)

* energy of formation from the pure elements: 0.010 eV per atom
* crystal system: monoclinic
* D(E_F): 32.27 states/eV/cell
* M_tot: 0.0 μB/cell
* E: -4.91 eV per atom

[6]
Computed, not measured: an optimized crystal structure of Sb2F13 at the PBE level of DFT.

a b c (Å): 5.7340 6.8680 7.2619
angles (deg): 107.39 94.10 94.76
Space group P-1 (No. 2)
Unique sites:
1 Sb 0.1359 0.3105 0.0648 (multiplicity 2)
2 F 0.0000 0.0000 0.0000 (multiplicity 1)
3 F 0.0267 0.6244 0.7076 (multiplicity 2)
4 F 0.1811 0.6145 0.0788 (multiplicity 2)
5 F 0.1834 0.9123 0.4503 (multiplicity 2)
6 F 0.2550 0.2425 0.8161 (multiplicity 2)
7 F 0.3674 0.8069 0.5057 (multiplicity 2)
8 F 0.4312 0.3052 0.1986 (multiplicity 2)

* formation energy without anion corrections: -1556 meV/atom
* crystal system: triclinic
* D(E_F): 3.87 states/eV/cell
* M_tot: 0.0 μB/cell
* E: -3.73 eV per atom

[7]
Computed, not measured: an optimized crystal structure of SrCo2Te at the PBE level of DFT.

a b c (Å): 3.6739 3.6739 6.4763
angles (deg): 90.00 90.00 90.00
Space group P4/mmm (No. 123)
Unique sites:
1 Sr 0.0000 0.0000 0.0000 (multiplicity 1)
2 Co 0.5000 0.5000 0.3275 (multiplicity 2)
3 Te 0.0000 0.0000 0.5000 (multiplicity 1)

* formation energy without anion corrections: 365 meV/atom
* crystal system: tetragonal
* D(E_F): 6.72 states/eV/cell
* M_tot: 3.3 μB/cell
* E: -4.39 eV per atom

[8]
Computed, not measured: an optimized crystal structure of RbGa2Sn at the PBE level of DFT.

a b c (Å): 4.7830 4.7830 10.8494
angles (deg): 90.00 90.00 90.00
Space group P4/nmm (No. 129, origin choice 2)
Unique sites:
1 Rb 0.2500 0.2500 0.2362 (multiplicity 2)
2 Ga 0.2500 0.2500 0.9298 (multiplicity 2)
3 Ga 0.2500 0.7500 0.5000 (multiplicity 2)
4 Sn 0.2500 0.2500 0.6479 (multiplicity 2)

* energy of formation from the pure elements: 0.016 eV per atom
* crystal system: tetragonal
* D(E_F): 3.36 states/eV/cell
* M_tot: 0.0 μB/cell
* E: -2.74 eV per atom

[9]
Computed, not measured: an optimized crystal structure of TlAg2BiI at the PBE level of DFT.

a b c (Å): 5.4669 5.4669 6.3135
angles (deg): 90.00 90.00 90.00
Space group P4/mmm (No. 123)
Unique sites:
1 Tl 0.0000 0.0000 0.0000 (multiplicity 1)
2 Ag 0.0000 0.5000 0.5000 (multiplicity 2)
3 Bi 0.5000 0.5000 0.0000 (multiplicity 1)
4 I 0.5000 0.5000 0.5000 (multiplicity 1)

* formation energy without anion corrections: 635 meV/atom
* crystal system: tetragonal
* D(E_F): 4.17 states/eV/cell
* M_tot: 0.0 μB/cell
* E: -2.07 eV per atom

[10]
Computed, not measured: an optimized crystal structure of ThCdIrAu at the PBE level of DFT.

a b c (Å): 7.0250 7.0250 7.0250
angles (deg): 90.00 90.00 90.00
Space group F-43m (No. 216)
Unique sites:
1 Th 0.0000 0.0000 0.0000 (multiplicity 4)
2 Cd 0.0000 0.0000 0.5000 (multiplicity 4)
3 Ir 0.2500 0.2500 0.2500 (multiplicity 4)
4 Au 0.2500 0.2500 0.7500 (multiplicity 4)

* energy of formation from the pure elements: -0.438 eV per atom
* crystal system: cubic
* D(E_F): 13.56 states/eV/cell
* M_tot: 0.0 μB/cell
* E: -5.56 eV per atom

[11]
Computed, not measured: an optimized crystal structure of KTa2Re at the PBE level of DFT.

a b c (Å): 5.4646 5.4646 16.9602
angles (deg): 90.00 90.00 90.00
Space group I4_1/amd (No. 141, origin choice 2)
Unique sites:
1 K 0.0000 0.2500 0.3750 (multiplicity 4)
2 Ta 0.0000 0.0000 0.0000 (multiplicity 8)
3 Re 0.0000 0.2500 0.8750 (multiplicity 4)

* energy of formation from the pure elements: 1.818 eV per atom
* crystal system: tetragonal
* D(E_F): 28.59 states/eV/cell
* M_tot: 0.0 μB/cell
* E: -7.49 eV per atom

[12]
Computed, not measured: an optimized crystal structure of GeIr2OsAu at the PBE level of DFT.

a b c (Å): 4.5476 4.5476 4.5617
angles (deg): 90.00 90.00 90.00
Space group P4/mmm (No. 123)
Unique sites:
1 Ge 0.0000 0.0000 0.0000 (multiplicity 1)
2 Ir 0.0000 0.5000 0.0000 (multiplicity 2)
3 Os 0.0000 0.0000 0.5000 (multiplicity 1)
4 Au 0.5000 0.5000 0.5000 (multiplicity 1)

* energy of formation from the pure elements: 1.432 eV per atom
* crystal system: tetragonal
* D(E_F): 5.92 states/eV/cell
* M_tot: 1.5 μB/cell
* E: -5.94 eV per atom

[13]
Computed, not measured: an optimized crystal structure of EuErAlAg at the PBE level of DFT.

a b c (Å): 7.3960 7.3960 7.3960
angles (deg): 90.00 90.00 90.00
Space group F-43m (No. 216)
Unique sites:
1 Eu 0.0000 0.0000 0.0000 (multiplicity 4)
2 Er 0.0000 0.0000 0.5000 (multiplicity 4)
3 Al 0.2500 0.2500 0.2500 (multiplicity 4)
4 Ag 0.2500 0.2500 0.7500 (multiplicity 4)

* energy of formation from the pure elements: -0.258 eV per atom
* crystal system: cubic
* D(E_F): 34.09 states/eV/cell
* M_tot: 27.2 μB/cell
* E: -5.62 eV per atom

[14]
Computed, not measured: an optimized crystal structure of ScSbRu at the PBE level of DFT.

a b c (Å): 3.3327 3.3327 6.2944
angles (deg): 90.00 90.00 120.00
Space group P3m1 (No. 156)
Unique sites:
1 Sc 0.0000 0.0000 0.0000 (multiplicity 1)
2 Sb 0.3333 0.6667 0.6043 (multiplicity 1)
3 Ru 0.6667 0.3333 0.3025 (multiplicity 1)

* formation energy without anion corrections: -181 meV/atom
* crystal system: trigonal
* D(E_F): 1.91 states/eV/cell
* M_tot: 0.0 μB/cell
* E: -6.76 eV per atom

[15]
Computed, not measured: an optimized crystal structure of PmCuHg2 at the PBE level of DFT.

a b c (Å): 3.4503 3.4503 7.3835
angles (deg): 90.00 90.00 90.00
Space group P4/mmm (No. 123)
Unique sites:
1 Pm 0.0000 0.0000 0.0000 (multiplicity 1)
2 Cu 0.0000 0.0000 0.5000 (multiplicity 1)
3 Hg 0.5000 0.5000 0.2930 (multiplicity 2)

* energy of formation from the pure elements: -0.148 eV per atom
* crystal system: tetragonal
* D(E_F): 2.93 states/eV/cell
* M_tot: 0.2 μB/cell
* E: -2.51 eV per atom

[16]
Computed, not measured: an optimized crystal structure of Tl3AgS at the PBE level of DFT.

a b c (Å): 5.7445 5.7445 5.7445
angles (deg): 90.00 90.00 90.00
Space group Pm-3m (No. 221)
Unique sites:
1 Tl 0.0000 0.0000 0.5000 (multiplicity 3)
2 Ag 0.5000 0.5000 0.5000 (multiplicity 1)
3 S 0.0000 0.0000 0.0000 (multiplicity 1)

* formation energy without anion corrections: 296 meV/atom
* crystal system: cubic
* D(E_F): 2.87 states/eV/cell
* M_tot: 0.0 μB/cell
* E: -2.52 eV per atom

[17]
Computed, not measured: an optimized crystal structure of Hg2Sb2Au at the PBE level of DFT.

a b c (Å): 7.2352 7.2352 5.2855
angles (deg): 90.00 90.00 90.00
Space group P4/mbm (No. 127)
Unique sites:
1 Hg 0.1800 0.3200 0.0000 (multiplicity 4)
2 Sb 0.1448 0.6448 0.5000 (multiplicity 4)
3 Au 0.0000 0.0000 0.5000 (multiplicity 2)

* formation energy without anion corrections: 116 meV/atom
* crystal system: tetragonal
* D(E_F): 7.08 states/eV/cell
* M_tot: 0.0 μB/cell
* E: -2.31 eV per atom

[18]
Computed, not measured: an optimized crystal structure of RbPmGe4 at the PBE level of DFT.

a b c (Å): 8.3055 8.3055 8.3055
angles (deg): 90.00 90.00 90.00
Space group F-43m (No. 216)
Unique sites:
1 Rb 0.0000 0.0000 0.0000 (multiplicity 4)
2 Pm 0.2500 0.2500 0.7500 (multiplicity 4)
3 Ge 0.1174 0.1174 0.3826 (multiplicity 16)

* energy of formation from the pure elements: -0.152 eV per atom
* crystal system: cubic
* M_tot: 0.0 μB/cell
* E: -4.18 eV per atom

[19]
Computed, not measured: an optimized crystal structure of Ce2InAs at the PBE level of DFT.

a b c (Å): 3.5743 3.5743 8.1171
angles (deg): 90.00 90.00 90.00
Space group P4/mmm (No. 123)
Unique sites:
1 Ce 0.0000 0.0000 0.2154 (multiplicity 2)
2 In 0.5000 0.5000 0.5000 (multiplicity 1)
3 As 0.5000 0.5000 0.0000 (multiplicity 1)

* energy of formation from the pure elements: -0.733 eV per atom
* crystal system: tetragonal
* D(E_F): 10.86 states/eV/cell
* M_tot: 1.8 μB/cell
* E: -5.55 eV per atom

[20]
Computed, not measured: an optimized crystal structure of NiGe at the PBE level of DFT.

a b c (Å): 4.4995 6.1585 8.0023
angles (deg): 90.00 90.00 90.00
Space group P2_12_12_1 (No. 19)
Unique sites:
1 Ni 0.1308 0.1316 0.0167 (multiplicity 4)
2 Ni 0.1329 0.8168 0.2323 (multiplicity 4)
3 Ge 0.1306 0.8303 0.7882 (multiplicity 4)
4 Ge 0.1401 0.5235 0.0204 (multiplicity 4)

* energy of formation from the pure elements: -0.108 eV per atom
* crystal system: orthorhombic
* D(E_F): 8.17 states/eV/cell
* M_tot: 0.0 μB/cell
* E: -5.31 eV per atom

[21]
Computed, not measured: an optimized crystal structure of TaBeAs2 at the PBE level of DFT.

a b c (Å): 3.9032 3.9032 8.1902
angles (deg): 90.00 90.00 90.00
Space group I4/mmm (No. 139)
Unique sites:
1 Ta 0.0000 0.0000 0.0000 (multiplicity 2)
2 Be 0.0000 0.0000 0.5000 (multiplicity 2)
3 As 0.0000 0.5000 0.2500 (multiplicity 4)

* energy of formation from the pure elements: 0.278 eV per atom
* crystal system: tetragonal
* D(E_F): 4.70 states/eV/cell
* M_tot: 0.0 μB/cell
* E: -5.94 eV per atom

[22]
Computed, not measured: an optimized crystal structure of SiBiBTe at the PBE level of DFT.

a b c (Å): 10.3781 3.3993 8.0382
angles (deg): 90.00 129.78 90.00
Space group Cm (No. 8)
Unique sites:
1 Si 0.0000 0.0000 0.0000 (multiplicity 2)
2 Bi 0.1360 0.5000 0.3834 (multiplicity 2)
3 B 0.4010 0.0000 0.9945 (multiplicity 2)
4 Te 0.1231 0.0000 0.8022 (multiplicity 2)

* formation energy without anion corrections: 433 meV/atom
* crystal system: monoclinic
* D(E_F): 5.49 states/eV/cell
* M_tot: 0.0 μB/cell
* E: -4.35 eV per atom

[23]
Computed, not measured: an optimized crystal structure of Li3Ca2Mg12Tl at the PBE level of DFT.

a b c (Å): 10.4091 10.4091 14.9966
angles (deg): 90.00 90.00 120.00
Space group R-3m (No. 166, hexagonal axes)
Unique sites:
1 Li 0.0000 0.5000 0.0000 (multiplicity 9)
2 Ca 0.0000 0.0000 0.1230 (multiplicity 6)
3 Mg 0.0119 0.5060 0.1997 (multiplicity 18)
4 Mg 0.0317 0.5158 0.4006 (multiplicity 18)
5 Tl 0.0000 0.0000 0.5000 (multiplicity 3)

* energy of formation from the pure elements: 0.090 eV per atom
* crystal system: trigonal
* D(E_F): 19.91 states/eV/cell
* M_tot: 0.0 μB/cell
* E: -1.65 eV per atom

[24]
Computed, not measured: an optimized crystal structure of Tl2Sn2Br at the PBE level of DFT.

a b c (Å): 4.9470 4.9470 13.2752
angles (deg): 90.00 90.00 90.00
Space group I4/mmm (No. 139)
Unique sites:
1 Tl 0.0000 0.5000 0.2500 (multiplicity 4)
2 Sn 0.0000 0.0000 0.1084 (multiplicity 4)
3 Br 0.0000 0.0000 0.5000 (multiplicity 2)

* formation energy without anion corrections: 36 meV/atom
* crystal system: tetragonal
* D(E_F): 6.58 states/eV/cell
* M_tot: 0.0 μB/cell
* E: -2.85 eV per atom

[25]
Computed, not measured: an optimized crystal structure of SbPb3 at the PBE level of DFT.

a b c (Å): 3.4700 3.4700 35.3694
angles (deg): 90.00 90.00 120.00
Space group R-3m (No. 166, hexagonal axes)
Unique sites:
1 Sb 0.0000 0.0000 0.0000 (multiplicity 3)
2 Pb 0.0000 0.0000 0.2545 (multiplicity 6)
3 Pb 0.0000 0.0000 0.5000 (multiplicity 3)

* formation energy without anion corrections: 83 meV/atom
* crystal system: trigonal
* D(E_F): 7.65 states/eV/cell
* M_tot: 0.0 μB/cell
* E: -3.73 eV per atom